(1)
Compound: NdZrS3
Source: OQMD
Functional: PBE-GGA
Structure: optimized geometry

The structure in CIF format:
```
data_NdZrS3
_chemical_formula_sum 'Nd4 Zr4 S12'
_cell_length_a 3.774
_cell_length_b 12.300
_cell_length_c 9.392
_cell_angle_alpha 90.00
_cell_angle_beta 90.00
_cell_angle_gamma 90.00
_space_group_name_H-M_alt 'C m c m'
_space_group_IT_number 63
_space_group_name_Hall '-C 2c 2'
loop_
_atom_site_label
_atom_site_type_symbol
_atom_site_fract_x
_atom_site_fract_y
_atom_site_fract_z
Nd1 Nd 0.000 0.246 0.250
Zr1 Zr 0.000 0.000 0.000
S1 S 0.000 0.081 0.750
S2 S 0.000 0.360 0.562
```

- ΔE to the lowest computed polymorph: 0 meV/atom


(2)
Compound: YEr2Al3Ni3
Source: OQMD
Functional: PBE-GGA
Structure: optimized geometry

The structure in CIF format:
```
data_YEr2Al3Ni3
_chemical_formula_sum 'Y2 Er4 Al6 Ni6'
_cell_length_a 3.897
_cell_length_b 11.997
_cell_length_c 6.907
_cell_angle_alpha 90.00
_cell_angle_beta 90.00
_cell_angle_gamma 90.00
_space_group_name_H-M_alt 'A m m 2'
_space_group_IT_number 38
_space_group_name_Hall 'A 2 -2'
loop_
_atom_site_label
_atom_site_type_symbol
_atom_site_fract_x
_atom_site_fract_y
_atom_site_fract_z
Y1 Y 0.000 0.000 0.000
Er1 Er 0.000 0.208 0.376
Al1 Al 0.500 0.000 0.347
Al2 Al 0.500 0.119 0.701
Ni1 Ni 0.000 0.000 0.581
Ni2 Ni 0.500 0.169 0.084
```

- Energy: -5.456 eV/atom